## La4SbIr (PBE-GGA)

Data for a relaxed structure of La4SbIr.

```
La4SbIr
1.0
0.000 4.416 4.416
4.416 0.000 4.416
4.416 4.416 0.000
Sb Ir La
1 1 4
direct
0.750 0.750 0.750
0.000 0.000 0.000
0.375 0.375 0.875
0.875 0.375 0.375
0.375 0.375 0.375
0.375 0.875 0.375
```

Output
The calculation puts the energy relative to the lowest polymorph listed for this composition at 94.20 kJ/mol of atoms. The crystal system is cubic. The calculation puts the total magnetization at 0.00 μB per cell. As for the volume: 28.71 Å³ per atom.

***

## LaSb2Ir (PBE-GGA)

Data for a relaxed structure of LaSb2Ir.

```
LaSb2Ir
1.0
-6.871 -2.113 0.436
-4.406 -5.684 0.364
-4.864 -3.437 4.049
La Sb Ir
1 2 1
direct
0.768 0.768 0.768
0.989 0.989 0.989
0.232 0.232 0.232
0.511 0.511 0.511
```

Output
The crystal system is trigonal. The calculation puts the total magnetization at 0.00 μB per cell. As for the volume: 27.53 Å³ per atom.

***

## La4SbIr (PBE-GGA)

Data for a relaxed structure of La4SbIr.

```
La4SbIr
1.0
5.815 0.000 -3.046
0.000 7.030 0.000
-1.500 0.000 10.253
La Sb Ir
8 2 2
direct
0.885 0.006 0.283
0.115 0.994 0.717
0.270 0.750 0.115
0.885 0.494 0.283
0.730 0.250 0.885
0.487 0.750 0.581
0.115 0.506 0.717
0.513 0.250 0.419
0.655 0.750 0.952
0.345 0.250 0.048
0.260 0.250 0.568
0.740 0.750 0.432
```

Output
The calculation puts the energy relative to the lowest polymorph listed for this composition at 0.00 kJ/mol of atoms. The crystal system is monoclinic. The calculation puts the total magnetization at 0.00 μB per cell. As for the volume: 32.25 Å³ per atom.

***

## LaSb2Ir (PBE-GGA)

Data for a relaxed structure of LaSb2Ir.

```
LaSb2Ir
1.0
7.104 0.781 -0.182
4.385 5.643 0.182
-5.509 -3.633 2.749
Ir Sb La
1 2 1
direct
0.537 0.537 0.000
0.984 0.984 0.000
0.681 0.181 0.500
0.299 0.799 0.500
```

Output
The crystal system is orthorhombic. The calculation puts the total magnetization at 0.00 μB per cell. As for the volume: 25.49 Å³ per atom.

***

Number 1: formation energy (no corrections) 0.27 eV/atom. Number 2: formation energy (no corrections) -0.28 eV/atom. Number 3: formation energy (no corrections) -0.71 eV/atom. Number 4: formation energy (no corrections) -0.41 eV/atom.